(1)
The following is a PBE calculation of a relaxed K2GeSb crystal, from Alexandria.

```
16
Lattice="6.795 0.000 0.000 0.000 9.575 0.202 0.000 -4.116 10.219" Properties=species:S:1:pos:R:3 pbc="T T T"
K 5.578 3.097 7.768
K 4.800 0.395 1.888
K 4.615 -1.690 7.666
K 5.392 5.182 1.989
K 1.217 2.362 2.654
K 1.403 0.277 8.432
K 1.995 5.065 8.534
K 2.180 7.150 2.755
Sb 5.650 0.623 5.368
Sb 2.253 0.049 4.952
Sb 1.145 4.837 5.053
Sb 4.542 5.411 5.469
Ge 4.206 2.894 4.251
Ge 5.986 7.681 4.352
Ge 0.809 -2.222 6.069
Ge 2.589 2.566 6.170
```

polymorph energy (0 for the lowest one)	0.037	eV per atom
E_form (uncorrected)	-0.097	eV/atom
total magnetization	0.00	μB/atom
uncorrected energy	-45.29	eV for the cell shown
space group	No. 14

(2)
The following is a PBE calculation of a relaxed KGeSbSe3 crystal, from Alexandria.

```
12
Lattice="4.042 0.000 0.000 0.000 8.594 -0.665 0.000 -2.906 10.851" Properties=species:S:1:pos:R:3 pbc="T T T"
Ge 1.011 -0.550 5.979
Ge 3.032 6.237 4.207
Se 1.011 -1.376 8.327
Se 3.032 7.063 1.859
Se 3.032 1.197 6.060
Se 1.011 4.490 4.127
Se 1.011 2.650 9.303
Se 3.032 3.038 0.883
Sb 3.032 0.662 8.932
Sb 1.011 5.025 1.254
K 3.032 4.445 7.229
K 1.011 1.242 2.958
```

E_form (uncorrected)	-0.542	eV/atom
total magnetization	0.00	μB/atom
uncorrected energy	-47.09	eV for the cell shown
space group	No. 11

(3)
The following is a PBE calculation of a relaxed K2GeSbSe4 crystal, from Alexandria.

```
8
Lattice="-5.779 4.932 -1.606 -1.018 -7.568 1.414 3.793 -0.185 6.774" Properties=species:S:1:pos:R:3 pbc="T T T"
K -2.705 -3.256 1.951
K 0.000 0.000 0.000
Se 1.750 -1.390 4.385
Se -2.117 -0.044 2.617
Se -0.234 -4.604 5.895
Se -5.408 0.396 0.267
Ge 1.387 -3.876 4.094
Sb -0.300 0.435 4.631
```

E_form (uncorrected)	-0.560	eV/atom
total magnetization	0.00	μB/atom
uncorrected energy	-29.36	eV for the cell shown
space group	No. 82